Record 1
A relaxed structure of Cd2SbHI. Source: the Alexandria database, functional GGA-PBE.

Cell: 5.740 5.740 4.059 Å, 90.00 90.00 90.00°
Space group P4/mmm (No. 123)
Unique sites:
Cd  0.000  0.500  0.000 [2 per cell]
Sb  0.000  0.000  0.000 [1 per cell]
H  0.000  0.000  0.500 [1 per cell]
I  0.500  0.500  0.500 [1 per cell]

---

Record 2
A relaxed structure of CdSb2HI. Source: the Alexandria database, functional GGA-PBE.

Cell: 4.338 4.338 7.813 Å, 90.00 90.00 90.00°
Space group P4/mmm (No. 123)
Unique sites:
Cd  0.000  0.000  0.000 [1 per cell]
Sb  0.000  0.500  0.500 [2 per cell]
H  0.500  0.500  0.500 [1 per cell]
I  0.500  0.500  0.000 [1 per cell]

---

Record 3
A relaxed structure of CdSbHI2. Source: the Alexandria database, functional GGA-PBE.

Cell: 6.022 6.022 5.647 Å, 90.00 90.00 90.00°
Space group P4/mmm (No. 123)
Unique sites:
Cd  0.000  0.000  0.000 [1 per cell]
Sb  0.000  0.000  0.500 [1 per cell]
H  0.500  0.500  0.500 [1 per cell]
I  0.000  0.500  0.000 [2 per cell]

---

Record 4
A relaxed structure of Cd2SnHI. Source: the Alexandria database, functional GGA-PBE.

Cell: 5.691 5.691 4.035 Å, 90.00 90.00 90.00°
Space group P4/mmm (No. 123)
Unique sites:
Cd  0.000  0.500  0.000 [2 per cell]
Sn  0.000  0.000  0.000 [1 per cell]
H  0.000  0.000  0.500 [1 per cell]
I  0.500  0.500  0.500 [1 per cell]

---

Record 5
A relaxed structure of Cd2InH. Source: the Alexandria database, functional GGA-PBE.

Cell: 5.358 5.358 12.399 Å, 90.00 90.00 90.00°
Space group I-42d (No. 122)
Unique sites:
Cd  0.107  0.250  0.125 [8 per cell]
In  0.000  0.000  0.500 [4 per cell]
H  0.000  0.000  0.000 [4 per cell]

---

Record 6
A relaxed structure of CdIn2H. Source: the Alexandria database, functional GGA-PBE.

Cell: 5.418 5.418 12.957 Å, 90.00 90.00 90.00°
Space group I-42d (No. 122)
Unique sites:
Cd  0.000  0.000  0.000 [4 per cell]
In  0.128  0.250  0.625 [8 per cell]
H  0.000  0.000  0.500 [4 per cell]

---

Record 7
A relaxed structure of Cd4InH2. Source: the Alexandria database, functional GGA-PBE.

Cell: 5.160 3.151 8.460 Å, 90.00 106.52 90.00°
Space group P2/m (No. 10)
Unique sites:
Cd  0.098  0.000  0.197 [2 per cell]
Cd  0.316  0.500  0.638 [2 per cell]
In  0.500  0.500  0.000 [1 per cell]
H  0.248  0.000  0.489 [2 per cell]

---

Record 8
A relaxed structure of Cd2InH. Source: the Alexandria database, functional GGA-PBE.

Cell: 6.918 6.918 6.918 Å, 90.00 90.00 90.00°
Space group Fm-3m (No. 225)
Unique sites:
Cd  0.250  0.250  0.250 [8 per cell]
In  0.000  0.000  0.000 [4 per cell]
H  0.000  0.000  0.500 [4 per cell]

---

E for the records above, in order: -2.163, -2.443, -1.640, -2.125, -1.681, -2.139, -1.633, -1.507 eV/atom
V for the records above, in order: 133.74, 147.01, 204.77, 130.71, 356.01, 380.40, 131.86, 331.02 Å³ per cell
Spin magnetization for the records above, in order: 0.0, 0.0, 2.3, 0.0, 0.0, 0.0, 0.0, 0.0 μB/f.u.